# 1
Entry from OQMD via LeMat-Bulk: a geometry-optimized YMgAu2 structure (PBE).

Structure (extended XYZ):
```
4
Lattice="3.462 0.000 0.000 0.000 3.462 0.000 0.000 0.000 6.895" Properties=species:S:1:pos:R:3 pbc="T T T"
Mg 0.000 0.000 0.000
Au 1.731 1.731 1.605
Au 1.731 1.731 5.290
Y 0.000 0.000 3.447
```

Output
* symmetry: P4/mmm, No. 123

***

# 2
Entry from OQMD via LeMat-Bulk: a geometry-optimized ReP2O7 structure (PBE).

Structure (extended XYZ):
```
20
Lattice="4.835 0.000 0.000 -2.122 6.539 0.000 -0.275 -0.264 8.009" Properties=species:S:1:pos:R:3 pbc="T T T"
O 2.461 2.536 2.538
O -0.685 6.184 5.166
O 1.171 5.397 0.633
O -1.694 4.694 6.986
O 3.546 0.264 6.374
O -1.107 6.011 1.635
O 0.234 4.270 2.704
O 2.205 2.005 5.305
O 4.132 1.581 1.023
O -0.022 3.739 5.471
O 2.552 4.550 4.475
O -0.114 1.725 3.534
O 1.267 0.879 7.376
O 3.123 0.091 2.843
Re 0.000 0.000 0.000
Re 1.219 3.138 4.004
P 2.121 0.731 6.114
P -1.199 4.704 5.535
P 0.317 5.544 1.895
P 3.638 1.571 2.473
```

Output
* symmetry: P-1, No. 2

***

# 3
Entry from OQMD via LeMat-Bulk: a geometry-optimized CuReSbOs structure (PBE).

Structure (extended XYZ):
```
4
Lattice="0.657 -2.076 3.895 -3.493 -1.208 2.502 -1.049 -4.316 0.433" Properties=species:S:1:pos:R:3 pbc="T T T"
Sb 0.000 0.000 0.000
Re -0.971 -1.900 1.708
Cu -2.913 -5.700 5.123
Os -1.942 -3.800 3.415
```

Output
* symmetry: F-43m, No. 216

***

# 4
Entry from OQMD via LeMat-Bulk: a geometry-optimized PuSBr structure (PBE).

Structure (extended XYZ):
```
6
Lattice="4.158 0.000 0.000 0.000 5.320 0.000 0.000 0.000 9.191" Properties=species:S:1:pos:R:3 pbc="T T T"
S 0.000 0.000 8.574
S 2.079 2.660 0.617
Pu 2.079 0.000 1.181
Pu 0.000 2.660 8.010
Br 2.079 2.660 6.021
Br 0.000 0.000 3.171
```

Output
* symmetry: Pmmn, No. 59

***

# 5
Entry from OQMD via LeMat-Bulk: a geometry-optimized TbZrAg4 structure (PBE).

Structure (extended XYZ):
```
6
Lattice="3.651 0.000 0.000 0.000 3.651 0.000 0.000 0.000 9.184" Properties=species:S:1:pos:R:3 pbc="T T T"
Ag 1.826 1.826 1.631
Ag 0.000 0.000 6.100
Ag 0.000 0.000 3.084
Ag 1.826 1.826 7.553
Zr 1.826 1.826 4.592
Tb 0.000 0.000 0.000
```

Output
* symmetry: P4/mmm, No. 123
* DFT formation energy: -0.182 eV/atom

***

# 6
Entry from OQMD via LeMat-Bulk: a geometry-optimized Na2HfTeO6 structure (PBE).

Structure (extended XYZ):
```
20
Lattice="-4.373 3.089 -0.396 -0.510 -5.286 0.793 0.150 1.540 10.363" Properties=species:S:1:pos:R:3 pbc="T T T"
O -4.281 2.054 3.539
O -1.272 0.168 6.805
O -1.568 -2.896 9.533
O -0.452 -2.710 7.221
O -0.212 -0.229 9.117
O -4.521 -0.427 1.644
O -1.506 -0.260 1.575
O -3.165 2.240 1.228
O -1.354 1.313 3.607
O -3.379 -1.969 7.153
O -3.461 -0.824 3.955
O -3.227 -0.396 9.185
Na -1.790 -2.419 0.901
Na -3.003 1.143 5.686
Na -1.730 -1.799 5.074
Na -2.943 1.763 9.860
Te 0.038 0.385 2.591
Te 0.113 1.155 7.772
Hf -1.685 -1.339 8.169
Hf -3.048 0.683 2.591
```

Output
* symmetry: P-31c, No. 163

***

# 7
Entry from OQMD via LeMat-Bulk: a geometry-optimized NaCuPdS3 structure (PBE).

Structure (extended XYZ):
```
12
Lattice="-1.156 -2.014 2.811 -1.398 -5.801 -2.366 9.117 -2.884 1.682" Properties=species:S:1:pos:R:3 pbc="T T T"
S 7.966 -5.019 2.045
S 1.018 -3.351 2.747
S 4.128 -3.804 1.337
S -1.404 -5.680 0.083
S 5.544 -7.348 -0.620
S 2.435 -6.895 0.791
Cu 6.179 -3.639 2.298
Cu 0.383 -7.060 -0.171
Na 1.299 -4.075 -0.021
Na 5.263 -6.624 2.148
Pd 0.000 0.000 0.000
Pd 4.558 -1.442 0.841
```

Output
* symmetry: Cmcm, No. 63

***

# 8
Entry from OQMD via LeMat-Bulk: a geometry-optimized LiScTlPd structure (PBE).

Structure (extended XYZ):
```
4
Lattice="0.000 3.308 3.308 3.308 0.000 3.308 3.308 3.308 0.000" Properties=species:S:1:pos:R:3 pbc="T T T"
Pd 1.654 1.654 1.654
Tl 3.308 3.308 3.308
Li 4.963 4.963 4.963
Sc 0.000 0.000 0.000
```

Output
* symmetry: F-43m, No. 216

***

# 9
Entry from OQMD via LeMat-Bulk: a geometry-optimized DyPbAuSe3 structure (PBE).

Structure (extended XYZ):
```
12
Lattice="-2.482 6.246 4.181 -1.938 -2.522 2.616 8.940 -2.859 3.866" Properties=species:S:1:pos:R:3 pbc="T T T"
Dy -0.678 3.187 4.190
Dy 5.197 -2.322 6.473
Se 6.760 -2.646 4.077
Se 5.873 0.504 6.456
Se 2.609 -1.495 5.353
Se 1.910 2.360 5.310
Se -1.353 0.361 4.207
Se -2.241 3.511 6.586
Au 4.486 -1.554 3.445
Au 0.034 2.419 7.218
Pb 1.493 0.167 2.887
Pb 3.027 0.699 7.777
```

Output
* symmetry: P2_1/m, No. 11

***

# 10
Entry from OQMD via LeMat-Bulk: a geometry-optimized Pd structure (PBE).

Structure (extended XYZ):
```
34
Lattice="-1.150 -3.120 -4.397 -1.726 -1.544 5.003 -25.491 15.181 -4.107" Properties=species:S:1:pos:R:3 pbc="T T T"
Pd -22.670 8.824 -2.059
Pd -10.483 3.466 2.014
Pd -7.323 -0.111 1.993
Pd -11.666 5.660 0.760
Pd -17.215 8.346 -4.877
Pd -6.462 0.660 -0.504
Pd -5.888 2.217 1.691
Pd -20.693 7.455 -3.336
Pd -19.840 8.218 -5.808
Pd -13.417 6.293 -2.686
Pd -10.802 6.433 -1.740
Pd -9.618 4.240 -0.494
Pd -18.649 6.019 -4.575
Pd -14.855 3.961 -2.383
Pd -19.272 9.760 -3.635
Pd -16.032 6.153 -3.631
Pd -13.103 3.329 1.063
Pd -18.076 7.576 -2.382
Pd -20.082 8.977 -1.119
Pd -15.457 7.712 -1.431
Pd -12.240 4.101 -1.437
Pd -10.206 2.684 -2.692
Pd -11.059 1.902 -0.190
Pd -14.280 5.521 -0.184
Pd -8.476 2.065 0.751
Pd -9.014 0.466 -1.429
Pd -16.893 5.382 -1.129
Pd -8.141 1.247 -3.960
Pd -13.992 4.733 -4.884
Pd -7.560 2.825 -1.736
Pd -16.319 6.941 1.068
Pd -16.627 9.902 -2.679
Pd -22.097 10.381 0.135
Pd -21.235 11.152 -2.361
```

Output
* symmetry: P-3m1, No. 164
* DFT formation energy: 0.178 eV/atom

***

# 11
Entry from OQMD via LeMat-Bulk: a geometry-optimized K2CdCoCl6 structure (PBE).

Structure (extended XYZ):
```
10
Lattice="0.000 5.024 5.024 5.024 0.000 5.024 5.024 5.024 0.000" Properties=species:S:1:pos:R:3 pbc="T T T"
K 2.512 2.512 2.512
K 7.536 7.536 7.536
Cl 5.024 5.024 7.438
Cl 7.438 5.024 5.024
Cl 2.610 5.024 5.024
Cl 5.024 2.610 5.024
Cl 5.024 7.438 5.024
Cl 5.024 5.024 2.610
Cd 0.000 0.000 0.000
Co 5.024 5.024 5.024
```

Output
* symmetry: Fm-3m, No. 225

***

# 12
Entry from OQMD via LeMat-Bulk: a geometry-optimized BaCd2GaHg structure (PBE).

Structure (extended XYZ):
```
5
Lattice="-2.384 2.384 6.035 2.384 -2.384 6.035 2.384 2.384 -6.035" Properties=species:S:1:pos:R:3 pbc="T T T"
Hg 0.000 0.000 4.736
Cd 0.000 2.384 2.926
Cd 2.384 0.000 2.926
Ga 0.000 0.000 7.486
Ba 0.000 0.000 0.030
```

Output
* symmetry: I4mm, No. 107

***

| no. | final energy (eV/atom) |
| --- | --- |
| 1 | -4.369 |
| 2 | -7.627 |
| 3 | -7.243 |
| 4 | -8.361 |
| 5 | -4.261 |
| 6 | -6.558 |
| 7 | -4.154 |
| 8 | -4.437 |
| 9 | -4.609 |
| 10 | -4.997 |
| 11 | -3.349 |
| 12 | -1.764 |